YSc2Cu: relaxed, GGA-PBEsol.

Output
Energy relative to the lowest polymorph listed for this composition, eV per formula unit: 0.05
Electronic total energy, eV/atom: -6.16
Energy of formation, meV/atom: -73

abc: 3.247 3.247 8.283
angles: 90.00 90.00 90.00
Atoms (fractional coordinates):
Y: 0.000 0.000 0.000
Sc: 0.500 0.500 0.309
Sc: 0.500 0.500 0.691
Cu: 0.000 0.000 0.500